# 1
A plane-wave DFT calculation with PBE was carried out for an optimized crystal structure of Mo3PtCl.

POSCAR file:
```
Mo3PtCl
1.0
4.3696 0.0000 0.0000
0.0000 4.3696 0.0000
0.0000 0.0000 4.3696
Mo Pt Cl
3 1 1
Cartesian
0.0000 2.1848 0.0000
0.0000 0.0000 2.1848
2.1848 0.0000 0.0000
2.1848 2.1848 2.1848
0.0000 0.0000 0.0000
```

***

# 2
A plane-wave DFT calculation with PBE was carried out for an optimized crystal structure of PdRuPt3.

POSCAR file:
```
PdRuPt3
1.0
-2.3746 -0.9792 -0.8753
3.6273 -1.6937 -7.9459
1.7821 -6.2376 2.1431
Pd Ru Pt
2 2 6
Cartesian
0.2061 -2.6162 -1.8389
2.8286 -6.2942 -4.8392
2.5333 -6.1162 -0.0306
2.8761 -1.8150 -5.7723
1.6546 -3.8208 -4.4211
-1.1873 -0.4896 -0.4376
2.7332 -4.3244 -6.7838
1.3801 -5.0896 -2.2571
0.6263 -1.3364 -4.4106
0.3015 -4.5860 0.1057
```

The formation enthalpy at 0 K comes out at 0.20 eV/atom.

***

# 3
A plane-wave DFT calculation with PBE was carried out for an optimized crystal structure of ZrSeI3.

POSCAR file:
```
ZrSeI3
1.0
-4.6622 5.8490 -2.5077
-4.9790 -1.3797 6.0387
8.2716 7.7439 8.5893
Zr Se I
4 4 12
Cartesian
-1.0510 1.0932 3.2466
1.7841 4.6047 9.1188
-3.1537 7.6085 3.0015
-0.3187 11.1200 8.8737
1.1392 2.8921 3.0884
-3.0827 6.4362 0.4171
1.7130 5.7770 11.7031
-2.5089 9.3211 9.0319
-0.5559 6.7539 3.2647
0.6764 9.8213 11.0808
3.4186 6.9954 8.8284
-3.7793 0.1793 4.0950
-1.4961 2.9076 5.4784
-0.8138 5.4593 8.8556
-3.5737 7.6500 5.9714
0.1264 9.3056 6.6419
2.4096 12.0339 8.0253
-4.7882 5.2178 3.2918
-2.0461 2.3919 1.0395
2.2040 4.5632 6.1489
```

***

# 4
A plane-wave DFT calculation with PBE was carried out for an optimized crystal structure of CrSnI2Br.

POSCAR file:
```
CrSnI2Br
1.0
-4.6023 -0.4683 -4.0509
1.1481 -5.4606 -0.6731
-3.8796 -1.3786 4.5671
I Cr Sn Br
2 1 1 1
Cartesian
-1.9398 -0.6893 2.2835
-2.3011 -0.2342 -2.0254
-3.6669 -3.6538 -0.0784
0.0000 0.0000 0.0000
0.5741 -2.7303 -0.3365
```

***

# 5
A plane-wave DFT calculation with PBE was carried out for an optimized crystal structure of Ti3S.

POSCAR file:
```
Ti3S
1.0
3.3534 0.0000 0.0000
-1.6767 4.6798 0.0000
0.0000 0.0000 7.6894
Ti S
6 2
Cartesian
0.0000 4.1725 5.7671
1.6767 0.5073 1.9224
0.0000 1.3049 7.3347
1.6767 3.3749 0.3547
1.6767 3.3749 3.4900
0.0000 1.3049 4.1994
1.6767 2.2073 5.7671
0.0000 2.4725 1.9224
```

***

# 6
A plane-wave DFT calculation with PBE was carried out for an optimized crystal structure of LaAlTc2.

POSCAR file:
```
LaAlTc2
1.0
-4.3621 2.0881 0.2549
-3.8117 0.3266 -2.9694
-3.3302 -4.0067 1.6204
Al Tc La
1 2 1
Cartesian
-8.6280 -1.1941 -0.8206
-3.0210 -3.5104 1.4021
-6.0612 -1.2923 -0.3287
-2.8760 -0.3980 -0.2735
```

The formation enthalpy at 0 K comes out at 0.07 eV/atom.

***

# 7
A plane-wave DFT calculation with PBE was carried out for an optimized crystal structure of AlZnBi2O.

POSCAR file:
```
AlZnBi2O
1.0
5.7375 0.0000 0.0000
0.0000 3.5861 0.0000
0.0000 0.0000 5.7375
Zn Bi O Al
1 2 1 1
Cartesian
0.0000 0.0000 0.0000
0.0000 0.0000 2.8687
2.8687 0.0000 0.0000
0.0000 1.7931 0.0000
2.8687 1.7931 2.8687
```

***

# 8
A plane-wave DFT calculation with PBE was carried out for an optimized crystal structure of Dy4TmSc3.

POSCAR file:
```
Dy4TmSc3
1.0
5.6066 -2.1151 -3.2622
-2.0361 6.4859 -0.6818
-1.1894 2.1060 7.2518
Sc Tm Dy
3 1 4
Cartesian
1.7853 2.1854 -1.9720
3.1102 1.0990 0.9996
-0.7290 5.3779 2.3082
0.0000 0.0000 0.0000
-2.2074 5.3490 6.9109
-0.4221 7.5344 4.9389
0.3033 2.1630 2.6635
2.0779 4.3139 0.6443
```

The formation enthalpy at 0 K comes out at 0.05 eV/atom.

***

# 9
A plane-wave DFT calculation with PBE was carried out for an optimized crystal structure of CrFe3.

POSCAR file:
```
CrFe3
1.0
2.4436 0.0000 0.0034
0.0000 4.0180 0.0000
0.8485 0.0000 4.6500
Cr Fe
1 3
Cartesian
0.8485 0.0000 4.6499
2.4763 2.0090 3.4894
1.6460 0.0000 2.3265
0.8157 2.0090 1.1636
```

The formation enthalpy at 0 K comes out at 0.05 eV/atom.

***

# 10
A plane-wave DFT calculation with PBE was carried out for an optimized crystal structure of Pa2FeP4Ru3.

POSCAR file:
```
Pa2FeP4Ru3
1.0
-1.3286 -3.1995 -2.1852
3.8697 -1.2113 -0.5793
-0.4404 -5.1208 7.7657
Pa Fe P Ru
2 1 4 3
Cartesian
-0.7755 -2.8922 0.8674
1.6056 -4.4340 5.5161
1.0503 -4.7658 2.5006
1.2705 -2.2054 -1.3822
0.0000 0.0000 0.0000
-0.9417 -4.8247 3.7981
1.7718 -2.5015 2.5854
-0.2202 -2.5604 3.8828
-1.0522 -6.1093 5.7462
1.8823 -1.2169 0.6373
```

The formation enthalpy at 0 K comes out at -0.91 eV/atom.

***

# 11
A plane-wave DFT calculation with PBE was carried out for an optimized crystal structure of Er3TmSc6.

POSCAR file:
```
Er3TmSc6
1.0
8.1149 0.0000 4.3063
2.9148 7.5733 4.3063
1.9902 1.3665 6.0487
Er Tm Sc
3 1 6
Cartesian
5.8424 4.0116 8.5885
7.0814 4.8623 6.2537
2.5604 1.7580 4.9742
10.3600 7.1134 9.8747
9.6936 4.7446 7.9108
5.2448 7.3424 6.4965
5.9528 2.2574 5.0193
3.3835 4.2423 6.6243
7.8435 1.6339 8.0406
7.1371 6.7331 9.5238
```

The formation enthalpy at 0 K comes out at 0.40 eV/atom.

***

# 12
A plane-wave DFT calculation with PBE was carried out for an optimized crystal structure of K4Np3O10.

POSCAR file:
```
K4Np3O10
1.0
-0.6303 4.1243 -1.0566
-2.0702 0.6364 3.7193
14.5920 1.3671 5.3978
K Np O
4 3 10
Cartesian
0.5229 2.9105 2.2832
11.3686 3.2174 5.7773
7.7546 2.1946 3.9407
4.1369 3.9333 4.1198
3.7042 1.0483 1.8824
8.1873 5.0796 6.1781
0.0000 0.0000 0.0000
2.6470 1.3603 3.7308
1.8957 0.5365 0.9633
3.3669 3.1042 1.3429
9.2445 4.7676 4.3297
8.5246 3.0237 6.7176
9.9958 5.5914 7.0972
5.3942 1.5266 2.7412
6.4973 4.6013 5.3193
-1.0351 0.3182 1.8596
-0.3151 2.0622 -0.5283
```

***

# 13
A plane-wave DFT calculation with PBE was carried out for an optimized crystal structure of FeReTc.

POSCAR file:
```
FeReTc
1.0
-2.7209 3.2091 0.8648
-3.2588 -2.0518 -2.6390
0.2973 -0.9756 4.5556
Fe Re Tc
2 2 2
Cartesian
-2.2893 -1.0848 2.1564
-2.7199 1.4703 1.9870
-1.4357 0.2060 0.0521
-4.7357 -0.1723 1.7398
-3.8757 1.1516 -0.4668
-3.5315 -1.4919 -0.2415
```

The formation enthalpy at 0 K comes out at 0.04 eV/atom.

***

# 14
A plane-wave DFT calculation with PBE was carried out for an optimized crystal structure of HgIr2Br.

POSCAR file:
```
HgIr2Br
1.0
-4.4143 2.2921 1.5965
-4.2697 -0.3153 2.9931
-1.9964 3.9601 7.5999
Ir Hg Br
2 1 1
Cartesian
-9.9836 5.4416 11.1926
-6.0370 3.4638 7.0916
-8.0103 4.4527 9.1421
-2.6701 1.4842 3.0474
```

***

# 15
A plane-wave DFT calculation with PBE was carried out for an optimized crystal structure of LiAcAlCu.

POSCAR file:
```
LiAcAlCu
1.0
4.4705 0.0000 0.0000
-2.2352 3.8687 0.0024
0.0000 -2.5696 5.1886
Li Ac Al Cu
1 1 1 1
Cartesian
0.0000 0.9319 4.6036
2.2352 -0.3621 2.5043
0.0000 0.9231 0.1165
2.2352 2.2132 0.3939
```

The formation enthalpy at 0 K comes out at -0.21 eV/atom.

***

# 16
A plane-wave DFT calculation with PBE was carried out for an optimized crystal structure of Ba3MgIn.

POSCAR file:
```
Ba3MgIn
1.0
5.5372 0.0000 0.0000
0.0000 9.9871 -0.0025
0.0000 -4.9930 8.6493
Ba Mg In
6 2 2
Cartesian
1.3843 7.0244 1.7086
4.1529 -2.0303 6.9382
1.3843 4.9921 5.2274
4.1529 0.0019 3.4195
1.3843 2.9609 1.7105
4.1529 2.0331 6.9364
0.0000 0.0000 0.0000
2.7686 0.0000 0.0000
1.3843 0.0028 5.7640
4.1529 4.9913 2.8829
```

The formation enthalpy at 0 K comes out at -0.08 eV/atom.

***

# 17
A plane-wave DFT calculation with PBE was carried out for an optimized crystal structure of NaSbPt2.

POSCAR file:
```
NaSbPt2
1.0
4.2228 -0.0010 0.0000
-2.1124 5.4139 0.0000
0.0000 0.0000 6.9983
Na Sb Pt
2 2 4
Cartesian
2.1114 4.8425 1.7496
-0.0010 0.5704 5.2487
2.1108 2.8998 5.2487
-0.0005 2.5131 1.7496
-0.0010 4.1015 3.8785
2.1114 1.3114 3.1198
-0.0010 4.1015 6.6190
2.1114 1.3114 0.3794
```

***

# 18
A plane-wave DFT calculation with PBE was carried out for an optimized crystal structure of CeYCdAg.

POSCAR file:
```
CeYCdAg
1.0
5.3018 0.0000 0.0000
2.6509 4.5915 0.0000
2.6509 1.5305 4.3289
Y Ag Ce Cd
1 1 1 1
Cartesian
7.9527 4.5915 3.2467
5.3018 3.0610 2.1644
2.6509 1.5305 1.0822
0.0000 0.0000 0.0000
```

The formation enthalpy at 0 K comes out at -0.18 eV/atom.

***

# 19
A plane-wave DFT calculation with PBE was carried out for an optimized crystal structure of Nd8Ge2Pt.

POSCAR file:
```
Nd8Ge2Pt
1.0
-2.3151 -0.9351 4.2169
-5.4614 -2.4913 -3.5508
6.7429 -7.3834 -0.7829
Nd Ge Pt
8 2 1
Cartesian
1.6504 -7.6775 -0.7964
-4.8562 -5.3999 -1.0159
-1.6405 -6.5934 0.4849
2.9803 -8.4957 2.5999
0.6069 -4.2163 -0.6018
3.8226 -5.4098 0.8990
-2.6839 -3.1323 0.6795
-4.0139 -2.3141 -2.7168
1.0347 -6.0648 2.0708
-2.0682 -4.7450 -2.1876
-1.1575 -0.4675 2.1084
```

The formation enthalpy at 0 K comes out at -0.49 eV/atom.

***

# 20
A plane-wave DFT calculation with PBE was carried out for an optimized crystal structure of CeY6Ho10.

POSCAR file:
```
CeY6Ho10
1.0
6.8016 0.0000 0.0000
0.0000 8.3385 -4.8143
0.0000 0.0000 9.6285
Ce Y Ho
1 6 10
Cartesian
3.4008 0.0000 0.0000
4.7517 3.1457 1.8161
4.7517 0.0000 5.9962
4.7517 5.1929 -2.9981
2.0498 5.1929 2.9981
2.0498 0.0000 3.6323
2.0498 3.1457 -1.8161
5.5561 6.0619 3.4998
5.5561 0.0000 2.6288
5.5561 2.2766 -1.3144
1.2454 2.2766 1.3144
1.2454 0.0000 6.9997
1.2454 6.0619 -3.4998
3.4008 2.7795 4.8143
3.4008 5.5590 0.0000
0.0000 5.5590 0.0000
0.0000 2.7795 4.8143
```

The formation enthalpy at 0 K comes out at 0.16 eV/atom.

***

no.,total energy (eV per atom)
1,-7.146
2,-6.321
3,-4.205
4,-3.499
5,-7.780
6,-7.278
7,-3.467
8,-5.182
9,-8.706
10,-8.600
11,-5.216
12,-8.060
13,-10.384
14,-4.292
15,-3.678
16,-2.097
17,-4.706
18,-4.220
19,-5.346
20,-5.167